Compound: RbPaIrO6
Source: the Alexandria database
Functional: PBE
Structure: relaxed

The structure in POSCAR format:
```
RbPaIrO6
1.0
7.972 0.000 0.000
0.000 7.372 0.000
-3.986 -3.686 5.454
Rb Pa Ir O
2 2 2 12
direct
0.865 0.615 0.731
0.135 0.385 0.269
0.500 0.000 0.500
0.000 0.000 0.500
0.500 0.500 0.000
0.500 0.000 0.000
0.451 0.701 0.903
0.829 0.079 0.657
0.795 0.081 0.244
0.449 0.663 0.244
0.449 0.081 0.244
0.795 0.663 0.244
0.549 0.299 0.097
0.171 0.921 0.343
0.205 0.919 0.756
0.551 0.337 0.756
0.551 0.919 0.756
0.205 0.337 0.756
```

Properties
Its total energy is -133.4 eV for the cell shown. The formation energy (no corrections) comes out at -1959.8 meV/atom. As for the space-group type: No. 74.